Density functional theory data (GGA-PBE) for a relaxed NdHgPt crystal.

Output
**ΔH_f (0 K)**: -2.08 eV per formula unit
**Total moment**: 0.000 μB per atom

```
NdHgPt
1.0
-1.9141 1.9141 4.7803
1.9141 -1.9141 4.7803
1.9141 1.9141 -4.7803
Nd Hg Pt
1 1 1
direct
0.0000 0.0000 0.0000
0.6825 0.6825 0.0000
0.3537 0.3537 0.0000
```